VASP calculation (GGA-PBE) on a relaxed FeIrW crystal.

Cell: 2.7340 2.7340 6.6732 Å, 90.00 90.00 120.00°
Atoms (fractional coordinates):
1 Ir 0.6667 0.3333 0.3268
2 Fe 0.0000 0.0000 0.0055
3 W 0.3333 0.6667 0.6677

Summary:
* volume: 14.399 Å³/atom
* N(E_F): 2.43 states/eV per cell
* symmetry: P3m1
* theoretical density: 16602 kg/m3
* calculated formation energy: 0.08 eV/atom
* offset from the most stable computed form: 9.8 kJ per mole of atoms

VASP calculation (GGA-PBE) on a relaxed Fe2Ir6W crystal.

Cell: 2.7517 7.3647 7.3647 Å, 120.00 90.00 90.00°
Atoms (fractional coordinates):
1 Ir 0.0000 0.0000 0.6943
2 Ir 0.5000 0.6413 0.6413
3 Ir 0.5000 0.3587 0.0000
4 Ir 0.5000 0.0000 0.3587
5 Ir 0.0000 0.6943 0.0000
6 Ir 0.0000 0.3057 0.3057
7 Fe 0.0000 0.6667 0.3333
8 Fe 0.0000 0.3333 0.6667
9 W 0.5000 0.0000 0.0000

Summary:
* volume: 14.362 Å³/atom
* N(E_F): 11.05 states/eV per cell
* symmetry: P-62m
* theoretical density: 18613 kg/m3
* calculated formation energy: -0.04 eV/atom

VASP calculation (GGA-PBE) on a relaxed FeIrW3 crystal.

Cell: 4.3989 4.3989 4.3989 Å, 90.00 90.00 90.00°
Atoms (fractional coordinates):
1 Fe 0.0000 0.0000 0.0000
2 W 0.0000 0.0000 0.5000
3 W 0.0000 0.5000 0.0000
4 W 0.5000 0.0000 0.0000
5 Ir 0.5000 0.5000 0.5000

Summary:
* volume: 17.024 Å³/atom
* N(E_F): 4.35 states/eV per cell
* symmetry: Pm-3m
* theoretical density: 15599 kg/m3
* calculated formation energy: 1.29 eV/atom
* offset from the most stable computed form: 0.0 kJ per mole of atoms

VASP calculation (GGA-PBE) on a relaxed Fe2Ir2W crystal.

Cell: 7.0332 7.0332 2.7136 Å, 90.00 90.00 90.00°
Atoms (fractional coordinates):
1 Fe 0.3821 0.8821 0.0000
2 Fe 0.6179 0.1179 0.0000
3 Fe 0.8821 0.6179 0.0000
4 Fe 0.1179 0.3821 0.0000
5 W 0.0000 0.0000 0.0000
6 W 0.5000 0.5000 0.0000
7 Ir 0.1771 0.6771 0.5000
8 Ir 0.6771 0.8229 0.5000
9 Ir 0.3229 0.1771 0.5000
10 Ir 0.8229 0.3229 0.5000

Summary:
* volume: 13.423 Å³/atom
* N(E_F): 13.60 states/eV per cell
* symmetry: P4/mbm
* theoretical density: 16824 kg/m3
* calculated formation energy: 0.07 eV/atom
* offset from the most stable computed form: 8.1 kJ per mole of atoms

VASP calculation (GGA-PBE) on a relaxed ZnFeIrW crystal.

Cell: 4.2875 4.2875 4.2875 Å, 60.00 60.00 60.00°
Atoms (fractional coordinates):
1 Ir 0.2500 0.2500 0.2500
2 W 0.5000 0.5000 0.5000
3 Zn 0.0000 0.0000 0.0000
4 Fe 0.7500 0.7500 0.7500

Summary:
* volume: 13.933 Å³/atom
* N(E_F): 2.15 states/eV per cell
* symmetry: F-43m
* theoretical density: 14817 kg/m3
* calculated formation energy: -0.01 eV/atom

VASP calculation (GGA-PBE) on a relaxed Y2FeIr3 crystal.

Cell: 5.4630 5.4630 8.2752 Å, 90.00 90.00 120.00°
Atoms (fractional coordinates):
1 Ir 0.3361 0.1680 0.7500
2 Ir 0.8320 0.1680 0.7500
3 Ir 0.1680 0.3361 0.2500
4 Ir 0.8320 0.6639 0.7500
5 Ir 0.1680 0.8320 0.2500
6 Ir 0.6639 0.8320 0.2500
7 Y 0.6667 0.3333 0.4367
8 Y 0.3333 0.6667 0.5633
9 Y 0.6667 0.3333 0.0633
10 Y 0.3333 0.6667 0.9367
11 Fe 0.0000 0.0000 0.0000
12 Fe 0.0000 0.0000 0.5000

Summary:
* volume: 17.823 Å³/atom
* N(E_F): 9.29 states/eV per cell
* symmetry: P6_3/mmc
* theoretical density: 12582 kg/m3
* calculated formation energy: -0.66 eV/atom

VASP calculation (GGA-PBE) on a relaxed YFeIr2 crystal.

Cell: 4.5848 4.5848 4.5848 Å, 60.00 60.00 60.00°
Atoms (fractional coordinates):
1 Ir 0.2500 0.2500 0.2500
2 Ir 0.7500 0.7500 0.7500
3 Fe 0.0000 0.0000 0.0000
4 Y 0.5000 0.5000 0.5000

Summary:
* volume: 17.037 Å³/atom
* N(E_F): 3.17 states/eV per cell
* symmetry: Fm-3m
* theoretical density: 12895 kg/m3
* calculated formation energy: -0.15 eV/atom

VASP calculation (GGA-PBE) on a relaxed YFeIr2 crystal.

Cell: 3.1109 3.1109 6.9718 Å, 90.00 90.00 90.00°
Atoms (fractional coordinates):
1 Fe 0.5000 0.5000 0.7500
2 Y 0.5000 0.5000 0.2500
3 Ir 0.0000 0.0000 0.5427
4 Ir 0.0000 0.0000 0.9573

Summary:
* volume: 16.867 Å³/atom
* N(E_F): 3.22 states/eV per cell
* symmetry: P4/mmm
* theoretical density: 13024 kg/m3
* calculated formation energy: -0.25 eV/atom

VASP calculation (GGA-PBE) on a relaxed YFeIr2 crystal.

Cell: 4.1945 3.9318 4.1945 Å, 90.00 90.00 90.00°
Atoms (fractional coordinates):
1 Y 0.0000 0.5893 0.3750
2 Ir 0.5000 0.0947 0.3750
3 Ir 0.0000 0.0947 0.8750
4 Fe 0.5000 0.7213 0.8750

Summary:
* volume: 17.294 Å³/atom
* N(E_F): 4.50 states/eV per cell
* symmetry: P4mm
* theoretical density: 12703 kg/m3
* calculated formation energy: -0.20 eV/atom

VASP calculation (GGA-PBE) on a relaxed YFe4Ir crystal.

Cell: 4.9717 4.9717 4.9717 Å, 60.00 60.00 60.00°
Atoms (fractional coordinates):
1 Fe 0.1275 0.6242 0.6242
2 Fe 0.6242 0.6242 0.6242
3 Fe 0.6242 0.6242 0.1275
4 Fe 0.6242 0.1275 0.6242
5 Ir 0.2500 0.2500 0.2500
6 Y 0.0000 0.0000 0.0000

Summary:
* volume: 14.482 Å³/atom
* N(E_F): 4.28 states/eV per cell
* symmetry: F-43m
* theoretical density: 9641 kg/m3
* calculated formation energy: -0.08 eV/atom